Version a
VASP calculation (GGA-PBE) on a geometry-optimized Ac3Pr structure.

Results
As for the density of states at the Fermi level: 8.15 states/eV/cell. As for the symmetry: Pmm2. Its crystal system is orthorhombic.

Lattice parameters (Å, degrees): 3.793 3.820 12.246 90.00 90.00 90.00
Atoms (fractional coordinates):
Ac1 0.000 0.000 0.000
Ac2 0.000 0.500 0.482
Ac3 0.500 0.500 0.761
Pr1 0.500 0.000 0.261



Version b
VASP calculation (GGA-PBE) on a geometry-optimized Ac3Pr structure.

Results
As for the density of states at the Fermi level: 7.48 states/eV/cell. As for the symmetry: Imm2. Its crystal system is orthorhombic.

Lattice parameters (Å, degrees): 7.501 7.501 7.501 149.42 63.47 125.85
Atoms (fractional coordinates):
Ac1 0.000 0.000 0.000
Ac2 0.418 0.665 0.753
Ac3 0.912 0.665 0.247
Pr1 0.497 0.997 0.500



Relative energies, meV per atom: version a 164; version b 0.



Version a
VASP calculation (GGA-PBE) on a geometry-optimized AcPr2 structure.

Results
As for the density of states at the Fermi level: 5.44 states/eV/cell. As for the symmetry: I4/mmm. Its crystal system is tetragonal.

Lattice parameters (Å, degrees): 8.438 8.438 8.438 153.76 153.76 37.45
Atoms (fractional coordinates):
Ac1 0.000 0.000 0.000
Pr1 0.329 0.329 0.000
Pr2 0.671 0.671 0.000



Version b
VASP calculation (GGA-PBE) on a geometry-optimized AcPr2 structure.

Results
As for the density of states at the Fermi level: 10.73 states/eV/cell. As for the symmetry: Fd-3m. Its crystal system is cubic.

Lattice parameters (Å, degrees): 6.926 6.926 6.926 60.00 60.00 60.00
Atoms (fractional coordinates):
Ac1 0.125 0.125 0.125
Ac2 0.875 0.875 0.875
Pr1 0.000 0.500 0.500
Pr2 0.500 0.000 0.500
Pr3 0.500 0.500 0.000
Pr4 0.500 0.500 0.500



Version c
VASP calculation (GGA-PBE) on a geometry-optimized AcPr2 structure.

Results
As for the density of states at the Fermi level: 6.56 states/eV/cell. As for the symmetry: Fmmm. Its crystal system is orthorhombic.

Lattice parameters (Å, degrees): 6.698 6.696 4.438 70.67 70.62 38.70
Atoms (fractional coordinates):
Ac1 0.000 0.000 0.000
Pr1 0.320 0.320 0.680
Pr2 0.680 0.680 0.320



Relative energies, meV per atom: version a 0; version b 156; version c 71.



Version a
VASP calculation (GGA-PBE) on a geometry-optimized AcPr4 structure.

Results
As for the density of states at the Fermi level: 6.88 states/eV/cell. As for the symmetry: Fmmm. Its crystal system is orthorhombic.

Lattice parameters (Å, degrees): 7.549 6.643 6.175 72.07 56.84 51.10
Atoms (fractional coordinates):
Ac1 0.000 0.000 0.000
Pr1 0.250 0.250 0.250
Pr2 0.350 0.650 0.350
Pr3 0.650 0.350 0.650
Pr4 0.750 0.750 0.750



Version b
VASP calculation (GGA-PBE) on a geometry-optimized AcPr4 structure.

Results
As for the density of states at the Fermi level: 8.36 states/eV/cell. As for the symmetry: Immm. Its crystal system is orthorhombic.

Lattice parameters (Å, degrees): 9.967 9.967 9.967 158.11 149.04 38.24
Atoms (fractional coordinates):
Ac1 0.000 0.000 0.000
Pr1 0.201 0.201 0.000
Pr2 0.396 0.396 0.000
Pr3 0.604 0.604 0.000
Pr4 0.799 0.799 0.000



Relative energies, meV per atom: version a 289; version b 0.



Version a
VASP calculation (GGA-PBE) on a geometry-optimized AcPrPt2 structure.

Results
As for the density of states at the Fermi level: 1.87 states/eV/cell. As for the symmetry: R3m. Its crystal system is trigonal.

Lattice parameters (Å, degrees): 7.757 7.757 7.757 31.73 31.73 31.73
Atoms (fractional coordinates):
Ac1 0.000 0.000 0.000
Pr1 0.827 0.827 0.827
Pt1 0.245 0.245 0.245
Pt2 0.417 0.417 0.417



Version b
VASP calculation (GGA-PBE) on a geometry-optimized AcPrPt2 structure.

Results
As for the density of states at the Fermi level: 3.61 states/eV/cell. As for the symmetry: Fm-3m. Its crystal system is cubic.

Lattice parameters (Å, degrees): 5.248 5.248 5.248 60.00 60.00 60.00
Atoms (fractional coordinates):
Ac1 0.000 0.000 0.000
Pr1 0.500 0.500 0.500
Pt1 0.250 0.250 0.250
Pt2 0.750 0.750 0.750



Relative energies, meV per atom: version a 0; version b 17.



Version a
VASP calculation (GGA-PBE) on a geometry-optimized AcPrPt2 structure.

Results
As for the density of states at the Fermi level: 2.62 states/eV/cell. As for the symmetry: P4/mmm. Its crystal system is tetragonal.

Lattice parameters (Å, degrees): 3.715 3.715 7.407 90.00 90.00 90.00
Atoms (fractional coordinates):
Ac1 0.000 0.000 0.000
Pr1 0.000 0.000 0.500
Pt1 0.500 0.500 0.266
Pt2 0.500 0.500 0.734



Version b
VASP calculation (GGA-PBE) on a geometry-optimized AcPrPt2 structure.

Results
As for the density of states at the Fermi level: 4.65 states/eV/cell. As for the symmetry: P2_1/m. Its crystal system is monoclinic.

Lattice parameters (Å, degrees): 5.993 4.628 8.099 90.00 109.75 90.00
Atoms (fractional coordinates):
Ac1 0.227 0.250 0.427
Ac2 0.773 0.750 0.573
Pr1 0.231 0.250 0.936
Pr2 0.769 0.750 0.064
Pt1 0.316 0.750 0.196
Pt2 0.324 0.750 0.714
Pt3 0.676 0.250 0.286
Pt4 0.684 0.250 0.804



Relative energies, meV per atom: version a 129; version b 0.



Version a
VASP calculation (GGA-PBE) on a geometry-optimized Ac3PrPt structure.

Results
As for the density of states at the Fermi level: 11.06 states/eV/cell. As for the symmetry: Pm-3m. Its crystal system is cubic.

Lattice parameters (Å, degrees): 5.972 5.972 5.972 90.00 90.00 90.00
Atoms (fractional coordinates):
Ac1 0.000 0.000 0.500
Ac2 0.000 0.500 0.000
Ac3 0.500 0.000 0.000
Pr1 0.500 0.500 0.500
Pt1 0.000 0.000 0.000



Version b
VASP calculation (GGA-PBE) on a geometry-optimized Ac3PrPt structure.

Results
As for the density of states at the Fermi level: 26.78 states/eV/cell. As for the symmetry: P2_1/c. Its crystal system is monoclinic.

Lattice parameters (Å, degrees): 10.640 7.200 10.518 90.00 100.79 90.00
Atoms (fractional coordinates):
Ac1 0.071 0.060 0.192
Ac2 0.071 0.440 0.692
Ac3 0.220 0.595 0.080
Ac4 0.220 0.905 0.580
Ac5 0.331 0.100 0.954
Ac6 0.331 0.400 0.454
Ac7 0.669 0.600 0.546
Ac8 0.669 0.900 0.046
Ac9 0.780 0.095 0.420
Ac10 0.780 0.405 0.920
Ac11 0.929 0.560 0.308
Ac12 0.929 0.940 0.808
Pr1 0.442 0.576 0.818
Pr2 0.442 0.924 0.318
Pr3 0.558 0.076 0.682
Pr4 0.558 0.424 0.182
Pt1 0.064 0.227 0.450
Pt2 0.064 0.273 0.950
Pt3 0.936 0.727 0.050
Pt4 0.936 0.773 0.550



Relative energies, meV per atom: version a 96; version b 0.



Version a
VASP calculation (GGA-PBE) on a geometry-optimized Ac2PrPt2 structure.

Results
As for the density of states at the Fermi level: 11.23 states/eV/cell. As for the symmetry: Ibam. Its crystal system is orthorhombic.

Lattice parameters (Å, degrees): 7.837 7.837 7.837 114.28 86.79 130.15
Atoms (fractional coordinates):
Ac1 0.153 0.137 0.290
Ac2 0.347 0.637 0.984
Ac3 0.653 0.363 0.016
Ac4 0.847 0.863 0.710
Pr1 0.250 0.750 0.500
Pr2 0.750 0.250 0.500
Pt1 0.104 0.770 0.874
Pt2 0.396 0.270 0.665
Pt3 0.604 0.730 0.335
Pt4 0.896 0.230 0.126



Version b
VASP calculation (GGA-PBE) on a geometry-optimized Ac2PrPt2 structure.

Results
As for the density of states at the Fermi level: 7.37 states/eV/cell. As for the symmetry: P4/mbm. Its crystal system is tetragonal.

Lattice parameters (Å, degrees): 8.270 8.270 4.264 90.00 90.00 90.00
Atoms (fractional coordinates):
Ac1 0.164 0.336 0.000
Ac2 0.336 0.836 0.000
Ac3 0.664 0.164 0.000
Ac4 0.836 0.664 0.000
Pr1 0.000 0.000 0.500
Pr2 0.500 0.500 0.500
Pt1 0.138 0.638 0.500
Pt2 0.362 0.138 0.500
Pt3 0.638 0.862 0.500
Pt4 0.862 0.362 0.500



Relative energies, meV per atom: version a 58; version b 0.



Version a
VASP calculation (GGA-PBE) on a geometry-optimized AcPrPt structure.

Results
As for the density of states at the Fermi level: 4.45 states/eV/cell. As for the symmetry: F-43m. Its crystal system is cubic.

Lattice parameters (Å, degrees): 5.193 5.193 5.193 60.00 60.00 60.00
Atoms (fractional coordinates):
Ac1 0.000 0.000 0.000
Pr1 0.500 0.500 0.500
Pt1 0.750 0.750 0.750



Version b
VASP calculation (GGA-PBE) on a geometry-optimized AcPrPt structure.

Results
As for the density of states at the Fermi level: 13.14 states/eV/cell. As for the symmetry: P2_1/c. Its crystal system is monoclinic.

Lattice parameters (Å, degrees): 7.015 7.353 10.725 90.00 128.56 90.00
Atoms (fractional coordinates):
Ac1 0.142 0.084 0.383
Ac2 0.142 0.416 0.883
Ac3 0.858 0.584 0.117
Ac4 0.858 0.916 0.617
Pr1 0.366 0.576 0.614
Pr2 0.366 0.924 0.114
Pr3 0.634 0.076 0.886
Pr4 0.634 0.424 0.386
Pt1 0.365 0.744 0.362
Pt2 0.365 0.756 0.862
Pt3 0.635 0.244 0.138
Pt4 0.635 0.256 0.638



Relative energies, meV per atom: version a 78; version b 0.



Version a
VASP calculation (GGA-PBE) on a geometry-optimized AcPrPt structure.

Results
As for the density of states at the Fermi level: 4.83 states/eV/cell. As for the symmetry: Pmmn. Its crystal system is orthorhombic.

Lattice parameters (Å, degrees): 4.091 5.154 8.794 90.00 90.00 90.00
Atoms (fractional coordinates):
Ac1 0.250 0.250 0.141
Ac2 0.750 0.750 0.859
Pr1 0.250 0.750 0.452
Pr2 0.750 0.250 0.548
Pt1 0.250 0.250 0.794
Pt2 0.750 0.750 0.206



Version b
VASP calculation (GGA-PBE) on a geometry-optimized AcPrPt structure.

Results
As for the density of states at the Fermi level: 3.27 states/eV/cell. As for the symmetry: P3m1. Its crystal system is trigonal.

Lattice parameters (Å, degrees): 4.321 4.321 6.763 90.00 90.00 120.00
Atoms (fractional coordinates):
Ac1 0.000 0.000 0.000
Pr1 0.667 0.333 0.519
Pt1 0.333 0.667 0.746



Relative energies, meV per atom: version a 0; version b 21.



Version a
VASP calculation (GGA-PBE) on a geometry-optimized AcPrPu structure.

Results
As for the density of states at the Fermi level: 12.08 states/eV/cell. As for the symmetry: P3m1. Its crystal system is trigonal.

Lattice parameters (Å, degrees): 5.983 5.983 3.519 90.00 90.00 120.00
Atoms (fractional coordinates):
Ac1 0.000 0.000 0.000
Pr1 0.667 0.333 0.997
Pu1 0.333 0.667 0.498



Version b
VASP calculation (GGA-PBE) on a geometry-optimized AcPrPu structure.

Results
As for the density of states at the Fermi level: 7.54 states/eV/cell. As for the symmetry: I4mm. Its crystal system is tetragonal.

Lattice parameters (Å, degrees): 8.221 8.221 8.221 153.77 153.77 37.43
Atoms (fractional coordinates):
Ac1 0.000 0.000 0.000
Pr1 0.322 0.322 0.000
Pu1 0.667 0.667 0.000



Version c
VASP calculation (GGA-PBE) on a geometry-optimized AcPrPu structure.

Results
As for the density of states at the Fermi level: 12.14 states/eV/cell. As for the symmetry: P-1. Its crystal system is triclinic.

Lattice parameters (Å, degrees): 3.638 6.679 8.656 104.04 102.12 90.09
Atoms (fractional coordinates):
Ac1 0.146 0.355 0.288
Ac2 0.854 0.645 0.712
Pr1 0.429 0.199 0.868
Pr2 0.571 0.801 0.132
Pu1 0.234 0.893 0.468
Pu2 0.766 0.107 0.532



Relative energies, meV per atom: version a 160; version b 0; version c 92.



Version a
VASP calculation (GGA-PBE) on a geometry-optimized Ac2PrPu structure.

Results
As for the density of states at the Fermi level: 11.11 states/eV/cell. As for the symmetry: P4/mmm. Its crystal system is tetragonal.

Lattice parameters (Å, degrees): 3.817 3.817 10.510 90.00 90.00 90.00
Atoms (fractional coordinates):
Ac1 0.000 0.000 0.241
Ac2 0.000 0.000 0.759
Pr1 0.500 0.500 0.500
Pu1 0.500 0.500 0.000



Version b
VASP calculation (GGA-PBE) on a geometry-optimized Ac2PrPu structure.

Results
As for the density of states at the Fermi level: 12.50 states/eV/cell. As for the symmetry: R3m. Its crystal system is trigonal.

Lattice parameters (Å, degrees): 12.393 12.393 12.393 17.76 17.76 17.76
Atoms (fractional coordinates):
Ac1 0.000 0.000 0.000
Ac2 0.171 0.171 0.171
Pr1 0.418 0.418 0.418
Pu1 0.586 0.586 0.586



Relative energies, meV per atom: version a 0; version b 20.



Version a
VASP calculation (GGA-PBE) on a geometry-optimized AcPr2Pu structure.

Results
As for the density of states at the Fermi level: 10.56 states/eV/cell. As for the symmetry: P4/mmm. Its crystal system is tetragonal.

Lattice parameters (Å, degrees): 3.732 3.732 10.374 90.00 90.00 90.00
Atoms (fractional coordinates):
Ac1 0.000 0.000 0.000
Pr1 0.500 0.500 0.271
Pr2 0.500 0.500 0.729
Pu1 0.000 0.000 0.500



Version b
VASP calculation (GGA-PBE) on a geometry-optimized AcPr2Pu structure.

Results
As for the density of states at the Fermi level: 16.65 states/eV/cell. As for the symmetry: P4/mmm. Its crystal system is tetragonal.

Lattice parameters (Å, degrees): 5.203 5.203 5.284 90.00 90.00 90.00
Atoms (fractional coordinates):
Ac1 0.000 0.000 0.000
Pr1 0.000 0.500 0.500
Pr2 0.500 0.000 0.500
Pu1 0.500 0.500 0.000



Relative energies, meV per atom: version a 0; version b 33.